(1)
The following is a GGA-PBE calculation of crystalline CoAg2As at its relaxed geometry, from Alexandria.

Computed properties:
For the theoretical density, the calculation gives 8.810 g/cm3.

The structure in POSCAR format:
```
CoAg2As
1.0
4.909 0.000 0.000
0.000 2.921 -0.012
0.000 0.201 4.594
Co As Ag
1 1 2
Cartesian
2.455 2.341 3.437
2.455 0.780 1.146
0.000 1.552 2.308
0.000 0.210 4.577
```


(2)
The following is a GGA-PBE calculation of crystalline CoAg2As at its relaxed geometry, from Alexandria.

Computed properties:
For the theoretical density, the calculation gives 8.915 g/cm3.

The structure in POSCAR format:
```
CoAg2As
1.0
-3.972 1.910 -2.710
-1.884 -3.000 -3.771
1.186 -0.577 5.003
Ag As Co
2 1 1
Cartesian
-2.928 -0.545 -3.240
0.000 0.000 0.000
-1.813 -2.061 -1.004
-2.857 0.394 -0.474
```


(3)
The following is a GGA-PBE calculation of crystalline CoAgAs at its relaxed geometry, from Alexandria.

Computed properties:
For the theoretical density, the calculation gives 8.529 g/cm3. Its energy above the most stable polymorph in this dataset is 0 kJ/mol of formula units.

The structure in POSCAR format:
```
CoAgAs
1.0
-2.947 2.547 -0.487
-2.573 -2.778 1.039
0.512 1.709 5.840
As Co Ag
2 2 2
Cartesian
-1.142 -0.907 2.167
-1.106 2.501 3.949
0.256 0.855 2.920
-2.504 0.739 3.196
-0.853 0.057 5.461
-1.395 1.537 0.655
```


(4)
The following is a GGA-PBE calculation of crystalline CoAg2As at its relaxed geometry, from Alexandria.

Computed properties:
For the theoretical density, the calculation gives 8.665 g/cm3.

The structure in POSCAR format:
```
CoAg2As
1.0
-0.823 -2.506 -0.948
2.550 -0.437 -1.078
2.481 -3.587 7.327
Co As Ag
1 1 2
Cartesian
2.725 -4.162 4.483
1.484 -2.368 0.819
2.420 -3.499 7.147
1.302 -1.882 3.844
```


(5)
The following is a GGA-PBE calculation of crystalline Co4AgAs at its relaxed geometry, from Alexandria.

Computed properties:
For the theoretical density, the calculation gives 8.574 g/cm3.

The structure in POSCAR format:
```
Co4AgAs
1.0
4.519 1.077 1.419
0.755 2.105 4.313
2.080 -2.514 3.599
Co As Ag
4 1 1
Cartesian
3.135 1.302 5.655
5.017 0.789 4.209
3.798 -1.006 5.298
2.758 0.250 3.499
0.000 0.000 0.000
5.515 0.501 6.998
```


(6)
The following is a GGA-PBE calculation of crystalline CoAg2As2 at its relaxed geometry, from Alexandria.

Computed properties:
For the theoretical density, the calculation gives 8.067 g/cm3.

The structure in POSCAR format:
```
CoAg2As2
1.0
5.981 0.000 0.000
0.000 5.981 0.000
0.000 0.000 4.886
Ag As Co
4 4 2
Cartesian
1.319 4.310 2.443
4.310 4.661 2.443
1.671 1.319 2.443
4.661 1.671 2.443
0.875 2.115 0.000
2.115 5.106 0.000
5.106 3.865 0.000
3.865 0.875 0.000
0.000 0.000 0.000
2.990 2.990 0.000
```


In the order shown, the computed ΔH_f (0 K) values come out to 0.364; 0.356; -0.036; 0.362; 0.357; 0.053 eV/atom.